# LiCo2O4

An optimized crystal structure of LiCo2O4 (GGA+U, the Open Quantum Materials Database).

Summary:
As for the offset from the most stable computed form: 0.0 meV per atom. The total energy comes out at -5.678 eV per atom. Its total magnetic moment is 1.0 μB per formula unit.

Unit cell a=4.780 b=2.792 c=5.003 alpha=90.00 beta=108.23 gamma=90.00
Space group P2/m (No. 10)
Unique sites:
Li (0.000, 0.000, 0.000) x1
Co (0.000, 0.500, 0.500) x1
Co (0.500, 0.000, 0.500) x1
O (0.238, 0.000, 0.709) x2
O (0.264, 0.500, 0.285) x2